Entry 1:
Computed, not measured: a relaxed BaSi2Ni2 crystal at the PBEsol level of DFT.

Cell: 4.1650 4.1650 11.2543 Å, 90.00 90.00 100.88°
Fractional positions:
Ba: 0.7958 0.7958 0.2500
Ba: 0.2042 0.2042 0.7500
Si: 0.6890 0.6890 0.5678
Si: 0.3110 0.3110 0.0678
Si: 0.6890 0.6890 0.9322
Si: 0.3110 0.3110 0.4322
Ni: 0.7955 0.2045 0.0000
Ni: 0.2045 0.7955 0.5000
Ni: 0.7955 0.2045 0.5000
Ni: 0.2045 0.7955 0.0000

Computed properties:
The value obtained for the total energy is -57.79 eV/cell. The energy relative to the elements, uncorrected comes out at -13.547 kcal/mol of atoms.

=====

Entry 2:
Computed, not measured: a relaxed LuB2Rh3 crystal at the PBEsol level of DFT.

Cell: 3.0919 5.3128 5.3128 Å, 120.00 90.00 90.00°
Fractional positions:
Rh: 0.0000 0.5000 0.0000
Rh: 0.0000 0.5000 0.5000
Rh: 0.0000 0.0000 0.5000
B: 0.5000 0.6667 0.3333
B: 0.5000 0.3333 0.6667
Lu: 0.5000 0.0000 0.0000

Computed properties:
The value obtained for the total energy is -47.92 eV/cell.

=====

Entry 3:
Computed, not measured: a relaxed KMo12S14 crystal at the PBEsol level of DFT.

Cell: 9.0551 9.0551 16.2777 Å, 90.00 90.00 120.00°
Fractional positions:
K: 0.3333 0.6667 0.2500
K: 0.6667 0.3333 0.7500
Mo: 0.3308 0.8367 0.6843
Mo: 0.3475 0.5033 0.5422
Mo: 0.5059 0.6692 0.6843
Mo: 0.6525 0.1558 0.0422
Mo: 0.8442 0.4967 0.0422
Mo: 0.6525 0.4967 0.4578
Mo: 0.4967 0.8442 0.5422
Mo: 0.1558 0.6525 0.5422
Mo: 0.3308 0.4941 0.8157
Mo: 0.1633 0.4941 0.6843
Mo: 0.5033 0.3475 0.0422
Mo: 0.6692 0.1633 0.3157
Mo: 0.5033 0.1558 0.4578
Mo: 0.4967 0.6525 0.9578
Mo: 0.1633 0.6692 0.8157
Mo: 0.8442 0.3475 0.4578
Mo: 0.4941 0.3308 0.3157
Mo: 0.6692 0.5059 0.1843
Mo: 0.3475 0.8442 0.9578
Mo: 0.1558 0.5033 0.9578
Mo: 0.8367 0.3308 0.1843
Mo: 0.5059 0.8367 0.8157
Mo: 0.8367 0.5059 0.3157
Mo: 0.4941 0.1633 0.1843
S: 0.6596 0.0184 0.1808
S: 0.6413 0.9816 0.6808
S: 0.0407 0.3479 0.5579
S: 0.6413 0.6596 0.8192
S: 0.3587 0.3404 0.1808
S: 0.6521 0.6928 0.5579
S: 0.3587 0.0184 0.3192
S: 0.3072 0.9593 0.5579
S: 0.3333 0.6667 0.4317
S: 0.6521 0.9593 0.9421
S: 0.6596 0.6413 0.3192
S: 0.0407 0.6928 0.9421
S: 0.3479 0.0407 0.0579
S: 0.0184 0.6596 0.6808
S: 0.3404 0.9816 0.8192
S: 0.3072 0.3479 0.9421
S: 0.6667 0.3333 0.5683
S: 0.3333 0.6667 0.0683
S: 0.9816 0.6413 0.1808
S: 0.0184 0.3587 0.8192
S: 0.9593 0.6521 0.4421
S: 0.9593 0.3072 0.0579
S: 0.6928 0.6521 0.0579
S: 0.6667 0.3333 0.9317
S: 0.9816 0.3404 0.3192
S: 0.6928 0.0407 0.4421
S: 0.3404 0.3587 0.6808
S: 0.3479 0.3072 0.4421

Computed properties:
The value obtained for the total energy is -447.13 eV/cell. The energy relative to the elements, uncorrected comes out at -16.945 kcal/mol of atoms.

=====

Entry 4:
Computed, not measured: a relaxed ScHPd3 crystal at the PBEsol level of DFT.

Cell: 4.6985 4.6985 4.6985 Å, 90.00 90.00 90.00°
Fractional positions:
Sc: 0.0000 0.0000 0.0000
H: 0.5000 0.5000 0.5000
Pd: 0.0000 0.5000 0.0000
Pd: 0.0000 0.0000 0.5000
Pd: 0.5000 0.0000 0.0000

Computed properties:
The energy relative to the lowest polymorph listed for this composition comes out at 1842 meV per atom. The value obtained for the total energy is -22.31 eV/cell.

=====

Entry 5:
Computed, not measured: a relaxed Cd3WCl crystal at the PBEsol level of DFT.

Cell: 5.4192 5.4192 5.4192 Å, 90.00 90.00 90.00°
Each line ends with the local moment (μB).
Fractional positions:
Cl: 0.5000 0.5000 0.5000  0.09
W: 0.0000 0.0000 0.0000  2.40
Cd: 0.0000 0.5000 0.0000  0.06
Cd: 0.0000 0.0000 0.5000  0.06
Cd: 0.5000 0.0000 0.0000  0.06

Computed properties:
The value obtained for the total energy is -13.58 eV/cell. The energy relative to the elements, uncorrected comes out at 26.864 kcal/mol of atoms.

=====

Entry 6:
Computed, not measured: a relaxed CaAcIn2 crystal at the PBEsol level of DFT.

Cell: 5.5623 5.5623 5.5623 Å, 60.00 60.00 60.00°
Fractional positions:
Ac: 0.5000 0.5000 0.5000
Ca: 0.0000 0.0000 0.0000
In: 0.2500 0.2500 0.2500
In: 0.7500 0.7500 0.7500

Computed properties:
The value obtained for the total energy is -14.51 eV/cell.

=====

Entry 7:
Computed, not measured: a relaxed KCu2Mo crystal at the PBEsol level of DFT.

Cell: 2.7460 2.7460 10.0086 Å, 82.12 82.12 60.00°
Fractional positions:
Cu: 0.0043 0.0043 0.9872
Cu: 0.7357 0.7357 0.7929
K: 0.4946 0.4946 0.5162
Mo: 0.2654 0.2654 0.2037

Computed properties:
The energy relative to the lowest polymorph listed for this composition comes out at 88 meV per atom. The value obtained for the total energy is -18.36 eV/cell.

=====

Entry 8:
Computed, not measured: a relaxed SrLi2Ru crystal at the PBEsol level of DFT.

Cell: 3.2390 3.4447 7.5175 Å, 90.00 90.00 90.00°
Each line ends with the local moment (μB).
Fractional positions:
Li: 0.0000 0.0000 0.0909  0.00
Li: 0.5000 0.5000 0.2836  0.00
Ru: 0.0000 0.0000 0.4369  0.41
Sr: 0.5000 0.5000 0.6886  -0.01

Computed properties:
The value obtained for the total energy is -14.19 eV/cell.

=====

Entry 9:
Computed, not measured: a relaxed Sr3AlN3 crystal at the PBEsol level of DFT.

Cell: 5.3284 7.5538 7.5538 Å, 120.00 90.00 90.00°
Fractional positions:
Sr: 0.7500 0.0735 0.7148
Sr: 0.7500 0.2852 0.3587
Sr: 0.7500 0.6413 0.9265
Sr: 0.2500 0.9265 0.2852
Sr: 0.2500 0.7148 0.6413
Sr: 0.2500 0.3587 0.0735
Al: 0.2500 0.3333 0.6667
Al: 0.7500 0.6667 0.3333
N: 0.2500 0.1030 0.6943
N: 0.2500 0.3057 0.4087
N: 0.2500 0.5913 0.8970
N: 0.7500 0.8970 0.3057
N: 0.7500 0.6943 0.5913
N: 0.7500 0.4087 0.1030

Computed properties:
The value obtained for the total energy is -83.08 eV/cell. The energy relative to the elements, uncorrected comes out at -20.912 kcal/mol of atoms.

=====

Entry 10:
Computed, not measured: a relaxed KLiSi2 crystal at the PBEsol level of DFT.

Cell: 3.9581 3.9581 5.7292 Å, 110.21 110.21 90.00°
Fractional positions:
K: 0.5000 0.5000 0.0000
Si: 0.7500 0.2500 0.5000
Si: 0.2500 0.7500 0.5000
Li: 0.0000 0.0000 0.0000

Computed properties:
The energy relative to the lowest polymorph listed for this composition comes out at 364 meV per atom. The value obtained for the total energy is -13.03 eV/cell. The energy relative to the elements, uncorrected comes out at 9.018 kcal/mol of atoms.

=====

Entry 11:
Computed, not measured: a relaxed LiReAu2 crystal at the PBEsol level of DFT.

Cell: 2.6339 4.4567 5.4402 Å, 90.00 90.00 90.00°
Fractional positions:
Au: 0.0000 0.0000 0.9452
Au: 0.5000 0.5000 0.2985
Li: 0.0000 0.0000 0.4649
Re: 0.5000 0.5000 0.7914

Computed properties:
The energy relative to the lowest polymorph listed for this composition comes out at 0 meV per atom. The value obtained for the total energy is -22.11 eV/cell.

=====

Entry 12:
Computed, not measured: a relaxed Ag2Sb crystal at the PBEsol level of DFT.

Cell: 4.2409 4.2409 13.3698 Å, 99.13 99.13 90.00°
Fractional positions:
Sb: 0.1728 0.6728 0.3455
Sb: 0.3272 0.8272 0.6545
Sb: 0.9228 0.9228 0.8455
Sb: 0.0772 0.0772 0.1545
Ag: 0.0008 0.5008 0.0016
Ag: 0.4992 0.9992 0.9984
Ag: 0.7508 0.7508 0.5016
Ag: 0.2492 0.2492 0.4984
Ag: 0.8307 0.3307 0.6613
Ag: 0.6693 0.1693 0.3387
Ag: 0.5807 0.5807 0.1613
Ag: 0.4193 0.4193 0.8387

Computed properties:
The energy relative to the lowest polymorph listed for this composition comes out at 1 meV per atom. The value obtained for the total energy is -44.08 eV/cell. The energy relative to the elements, uncorrected comes out at 1.231 kcal/mol of atoms.

=====

Entry 13:
Computed, not measured: a relaxed Te2Cl crystal at the PBEsol level of DFT.

Cell: 3.1634 5.2373 5.2373 Å, 120.00 90.00 90.00°
Fractional positions:
Te: 0.5000 0.6667 0.3333
Te: 0.5000 0.3333 0.6667
Cl: 0.0000 0.0000 0.0000

Computed properties:
The energy relative to the lowest polymorph listed for this composition comes out at 70 meV per atom. The value obtained for the total energy is -9.33 eV/cell. The energy relative to the elements, uncorrected comes out at -2.050 kcal/mol of atoms.

=====

Entry 14:
Computed, not measured: a relaxed Li2TaSi crystal at the PBEsol level of DFT.

Cell: 2.6331 2.6331 9.3269 Å, 90.00 90.00 108.16°
Fractional positions:
Si: 0.5000 0.5000 0.5000
Li: 0.0000 0.0000 0.2732
Li: 0.0000 0.0000 0.7268
Ta: 0.5000 0.5000 0.0000

Computed properties:
The value obtained for the total energy is -21.64 eV/cell. The energy relative to the elements, uncorrected comes out at 3.379 kcal/mol of atoms.

=====

Entry 15:
Computed, not measured: a relaxed K2PtAu crystal at the PBEsol level of DFT.

Cell: 2.7385 5.9461 6.2579 Å, 90.00 90.00 90.00°
Fractional positions:
Au: 0.5000 0.5000 0.8751
K: 0.0000 0.0000 0.8749
K: 0.5000 0.5000 0.3750
Pt: 0.0000 0.0000 0.3749

Computed properties:
The energy relative to the lowest polymorph listed for this composition comes out at 23 meV per atom. The value obtained for the total energy is -12.38 eV/cell.

=====

Entry 16:
Computed, not measured: a relaxed NaLa2B crystal at the PBEsol level of DFT.

Cell: 6.7462 6.7462 6.7462 Å, 106.52 106.52 115.55°
Fractional positions:
Na: 0.2500 0.7500 0.5000
Na: 0.0000 0.0000 0.0000
B: 0.7500 0.2500 0.5000
B: 0.5000 0.5000 0.0000
La: 0.7877 0.8750 0.4127
La: 0.4623 0.3750 0.5873
La: 0.6250 0.2123 0.0873
La: 0.1250 0.5377 0.9127

Computed properties:
The value obtained for the total energy is -34.73 eV/cell.

=====

Entry 17:
Computed, not measured: a relaxed Zr2MnFe crystal at the PBEsol level of DFT.

Cell: 2.8635 2.8635 7.7814 Å, 90.00 90.00 90.00°
Each line ends with the local moment (μB).
Fractional positions:
Fe: 0.0000 0.0000 0.5519  1.09
Mn: 0.5000 0.5000 0.6978  0.85
Zr: 0.0000 0.0000 0.9454  -0.08
Zr: 0.5000 0.5000 0.3049  -0.06

Computed properties:
The energy relative to the lowest polymorph listed for this composition comes out at 230 meV per atom. The value obtained for the total energy is -36.48 eV/cell.

=====

Entry 18:
Computed, not measured: a relaxed Fe3WAu crystal at the PBEsol level of DFT.

Cell: 4.3831 4.3831 4.3831 Å, 90.00 90.00 90.00°
Each line ends with the local moment (μB).
Fractional positions:
Au: 0.5000 0.5000 0.5000  -0.01
Fe: 0.0000 0.5000 0.0000  1.60
Fe: 0.0000 0.0000 0.5000  1.60
Fe: 0.5000 0.0000 0.0000  1.60
W: 0.0000 0.0000 0.0000  -0.48

Computed properties:
The value obtained for the total energy is -36.63 eV/cell.

=====

Entry 19:
Computed, not measured: a relaxed Ti2Si crystal at the PBEsol level of DFT.

Cell: 4.2837 4.2837 4.2837 Å, 60.00 60.00 60.00°
Each line ends with the local moment (μB).
Fractional positions:
Si: 0.2500 0.2500 0.2500  -0.06
Ti: 0.0000 0.0000 0.0000  1.42
Ti: 0.7500 0.7500 0.7500  1.66

Computed properties:
The value obtained for the total energy is -21.44 eV/cell. The energy relative to the elements, uncorrected comes out at 7.296 kcal/mol of atoms.

=====

Entry 20:
Computed, not measured: a relaxed SnRuI2N crystal at the PBEsol level of DFT.

Cell: 3.7786 5.9009 5.9009 Å, 90.00 90.00 90.00°
Each line ends with the local moment (μB).
Fractional positions:
I: 0.0000 0.0000 0.5000  0.07
I: 0.0000 0.5000 0.0000  0.07
Ru: 0.5000 0.5000 0.5000  2.61
Sn: 0.0000 0.0000 0.0000  0.00
N: 0.5000 0.0000 0.0000  0.03

Computed properties:
The energy relative to the lowest polymorph listed for this composition comes out at 1127 meV per atom. The value obtained for the total energy is -19.72 eV/cell. The energy relative to the elements, uncorrected comes out at 31.232 kcal/mol of atoms.

=====

Entry 21:
Computed, not measured: a relaxed ReAg3P crystal at the PBEsol level of DFT.

Cell: 4.5552 4.5552 4.5552 Å, 90.00 90.00 90.00°
Each line ends with the local moment (μB).
Fractional positions:
Re: 0.5000 0.5000 0.5000  2.82
Ag: 0.0000 0.5000 0.0000  0.01
Ag: 0.0000 0.0000 0.5000  0.01
Ag: 0.5000 0.0000 0.0000  0.01
P: 0.0000 0.0000 0.0000  0.07

Computed properties:
The value obtained for the total energy is -22.18 eV/cell.

=====

Entry 22:
Computed, not measured: a relaxed Tm3Ga2Ni6 crystal at the PBEsol level of DFT.

Cell: 7.5183 7.5183 7.5183 Å, 109.47 109.47 109.47°
Fractional positions:
Tm: 0.2899 0.2899 0.0000
Tm: 0.7101 0.0000 0.7101
Tm: 0.0000 0.2899 0.2899
Tm: 0.7101 0.7101 0.0000
Tm: 0.2899 0.0000 0.2899
Tm: 0.0000 0.7101 0.7101
Ga: 0.0000 0.5000 0.0000
Ga: 0.0000 0.0000 0.5000
Ga: 0.5000 0.5000 0.5000
Ga: 0.5000 0.0000 0.0000
Ni: 0.6612 0.3388 0.0000
Ni: 0.3388 0.6776 0.3388
Ni: 0.0000 0.3388 0.6612
Ni: 0.3388 0.3388 0.6776
Ni: 0.6612 0.0000 0.3388
Ni: 0.0000 0.6612 0.3388
Ni: 0.6612 0.6612 0.3224
Ni: 0.6612 0.3224 0.6612
Ni: 0.3224 0.6612 0.6612
Ni: 0.3388 0.6612 0.0000
Ni: 0.3388 0.0000 0.6612
Ni: 0.6776 0.3388 0.3388

Computed properties:
The value obtained for the total energy is -130.13 eV/cell.

=====

Entry 23:
Computed, not measured: a relaxed K2RbF crystal at the PBEsol level of DFT.

Cell: 8.3220 8.3220 8.3220 Å, 60.00 60.00 60.00°
Fractional positions:
K: 0.6250 0.1250 0.6250
K: 0.1250 0.6250 0.6250
K: 0.6250 0.6250 0.1250
K: 0.6250 0.6250 0.6250
Rb: 0.0000 0.0000 0.0000
Rb: 0.2500 0.2500 0.2500
F: 0.5000 0.5000 0.5000
F: 0.7500 0.7500 0.7500

Computed properties:
The value obtained for the total energy is -20.73 eV/cell. The energy relative to the elements, uncorrected comes out at -29.670 kcal/mol of atoms.

=====

Entry 24:
Computed, not measured: a relaxed LiBe3Pt crystal at the PBEsol level of DFT.

Cell: 3.7111 3.7111 3.7111 Å, 90.00 90.00 90.00°
Fractional positions:
Be: 0.0000 0.5000 0.0000
Be: 0.0000 0.0000 0.5000
Be: 0.5000 0.0000 0.0000
Pt: 0.5000 0.5000 0.5000
Li: 0.0000 0.0000 0.0000

Computed properties:
The value obtained for the total energy is -17.40 eV/cell.